1.
Here is an optimized crystal structure of TlSeF2 from Alexandria via LeMat-Bulk. Energies are from PBE.

Lattice parameters (Å, degrees): 4.686 4.686 4.686 60.00 60.00 60.00
Site moments in Bohr magnetons follow the coordinates.
Atoms (fractional coordinates):
Se: 0.000 0.000 0.000  1.35
Tl: 0.500 0.500 0.500  0.12
F: 0.250 0.250 0.250  0.27
F: 0.750 0.750 0.750  0.27

Computed properties:
Formation energy (no corrections), eV/atom: -0.6812
Excess energy over the best structure of this formula in the dataset, eV/f.u.: 1.798
Symmetry: Fm-3m (225)

2.
Here is an optimized crystal structure of Pu2NpPaSb4 from Alexandria via LeMat-Bulk. Energies are from PBE.

Lattice parameters (Å, degrees): 4.402 7.616 7.646 109.56 90.00 90.00
Site moments in Bohr magnetons follow the coordinates.
Atoms (fractional coordinates):
Np: 0.000 0.000 0.000  -3.86
Sb: 0.500 0.749 0.754  0.05
Sb: 0.500 0.251 0.246  0.05
Sb: 0.000 0.253 0.754  0.00
Sb: 0.000 0.747 0.246  0.00
Pu: 0.000 0.500 0.500  -5.25
Pu: 0.500 0.000 0.500  5.30
Pa: 0.500 0.500 0.000  -0.06

Computed properties:
Formation energy (no corrections), eV/atom: -0.4651
Symmetry: P2/m (10)

3.
Here is an optimized crystal structure of BeTc2Ru from Alexandria via LeMat-Bulk. Energies are from PBE.

Lattice parameters (Å, degrees): 5.598 4.720 2.706 89.94 61.20 117.06
Atoms (fractional coordinates):
Ru: 0.500 0.500 0.000
Be: 0.000 0.500 0.500
Tc: 0.500 0.000 0.500
Tc: 0.000 0.000 0.000

Computed properties:
E_form, eV per atom: 0.12
Symmetry: Cmmm (65)

4.
Here is an optimized crystal structure of LaCdSnHg from Alexandria via LeMat-Bulk. Energies are from PBE.

Lattice parameters (Å, degrees): 5.351 5.351 5.351 60.00 60.00 60.00
Atoms (fractional coordinates):
Cd: 0.750 0.750 0.750
La: 0.250 0.250 0.250
Hg: 0.500 0.500 0.500
Sn: 0.000 0.000 0.000

Computed properties:
E_form, eV per atom: -0.40
Excess energy over the best structure of this formula in the dataset, eV/f.u.: 0.293
Symmetry: F-43m (216)

5.
Here is an optimized crystal structure of La5FeHg2 from Alexandria via LeMat-Bulk. Energies are from PBE.

Lattice parameters (Å, degrees): 4.915 8.334 11.916 90.00 90.00 90.00
Atoms (fractional coordinates):
La: 0.000 0.873 0.190
La: 0.000 0.627 0.690
La: 0.000 0.127 0.810
La: 0.500 0.816 0.928
La: 0.500 0.316 0.572
La: 0.000 0.373 0.310
La: 0.000 0.500 0.000
La: 0.000 0.000 0.500
La: 0.500 0.184 0.072
La: 0.500 0.684 0.428
Hg: 0.500 0.079 0.334
Hg: 0.500 0.579 0.166
Hg: 0.500 0.921 0.666
Hg: 0.500 0.421 0.834
Fe: 0.000 0.000 0.000
Fe: 0.000 0.500 0.500

Computed properties:
E_form, eV per atom: -0.25
Symmetry: Pbam (55)

6.
Here is an optimized crystal structure of CaSnPb2S4 from Alexandria via LeMat-Bulk. Energies are from PBE.

Lattice parameters (Å, degrees): 4.161 7.230 7.229 70.66 90.00 90.00
Atoms (fractional coordinates):
S: 0.000 0.738 0.750
S: 0.500 0.264 0.742
S: 0.000 0.262 0.250
S: 0.500 0.736 0.258
Pb: 0.000 0.000 0.000
Pb: 0.500 0.000 0.500
Sn: 0.500 0.500 0.000
Ca: 0.000 0.500 0.500

Computed properties:
Formation energy (no corrections), eV/atom: -0.8971
Symmetry: P2/m (10)

In μB per cell, the spin magnetization values for the records above are, in order, 2.8 4.0 0.0 0.0 0.0 0.0.